Record 1
The following is a PBE-GGA calculation of La2ScCr after structural relaxation, from Alexandria.

Unit cell a=10.506 b=10.506 c=10.506 alpha=19.47 beta=19.47 gamma=19.47
Sites, in units of the cell vectors:
La 0.242 0.242 0.242
La 0.758 0.758 0.758
Sc 0.000 0.000 0.000
Cr 0.500 0.500 0.500

Energy of formation from the pure elements   1.7 eV per formula unit
D(E_F)   1.180 states/eV per atom
Magnetization   3.4 μB per cell

Record 2
The following is a PBE-GGA calculation of TcSbIr2 after structural relaxation, from Alexandria.

Unit cell a=9.031 b=9.031 c=9.031 alpha=18.59 beta=18.59 gamma=18.59
Sites, in units of the cell vectors:
Tc 0.000 0.000 0.000
Sb 0.500 0.500 0.500
Ir 0.253 0.253 0.253
Ir 0.747 0.747 0.747

D(E_F)   1.020 states/eV per atom
E_form (uncorrected)   0.2887 eV per atom
Magnetization   0.0 μB per cell

Record 3
The following is a PBE-GGA calculation of CeSmDy2In4 after structural relaxation, from Alexandria.

Unit cell a=9.341 b=9.341 c=9.341 alpha=33.45 beta=33.45 gamma=33.45
Sites, in units of the cell vectors:
Ce 0.000 0.000 0.000
Sm 0.500 0.500 0.500
Dy 0.250 0.250 0.250
Dy 0.750 0.750 0.750
In 0.125 0.125 0.125
In 0.376 0.376 0.376
In 0.624 0.624 0.624
In 0.875 0.875 0.875

Energy of formation from the pure elements   -3.5 eV per formula unit
D(E_F)   1.157 states/eV per atom
Magnetization   0.9 μB per cell

Record 4
The following is a PBE-GGA calculation of Dy9Tm4Cd11 after structural relaxation, from Alexandria.

Unit cell a=13.815 b=13.815 c=3.496 alpha=90.00 beta=90.00 gamma=108.41
Sites, in units of the cell vectors:
Dy 0.000 0.000 0.000
Dy 0.119 0.655 0.000
Dy 0.294 0.479 0.000
Dy 0.345 0.881 0.000
Dy 0.479 0.294 0.000
Dy 0.521 0.706 0.000
Dy 0.655 0.119 0.000
Dy 0.706 0.521 0.000
Dy 0.881 0.345 0.000
Tm 0.082 0.250 0.000
Tm 0.250 0.082 0.000
Tm 0.750 0.918 0.000
Tm 0.918 0.750 0.000
Cd 0.087 0.448 0.500
Cd 0.128 0.872 0.500
Cd 0.282 0.282 0.500
Cd 0.321 0.679 0.500
Cd 0.448 0.087 0.500
Cd 0.500 0.500 0.500
Cd 0.552 0.913 0.500
Cd 0.679 0.321 0.500
Cd 0.718 0.718 0.500
Cd 0.872 0.128 0.500
Cd 0.913 0.552 0.500

Energy of formation from the pure elements   -5.5 eV per formula unit
D(E_F)   1.168 states/eV per atom
Magnetization   0.8 μB per cell

Record 5
The following is a PBE-GGA calculation of Ca2CuAuN after structural relaxation, from Alexandria.

Unit cell a=6.861 b=3.774 c=8.158 alpha=90.00 beta=108.07 gamma=90.00
Sites, in units of the cell vectors:
Ca 0.185 0.250 0.369
Ca 0.188 0.250 0.966
Ca 0.812 0.750 0.034
Ca 0.815 0.750 0.631
Cu 0.458 0.750 0.244
Cu 0.542 0.250 0.756
Au 0.283 0.750 0.690
Au 0.717 0.250 0.310
N 0.171 0.750 0.167
N 0.829 0.250 0.833

D(E_F)   0.354 states/eV per atom
E_form (uncorrected)   -0.5735 eV per atom
Magnetization   0.0 μB per cell

Record 6
The following is a PBE-GGA calculation of SrPd2Pb after structural relaxation, from Alexandria.

Unit cell a=7.352 b=4.780 c=10.677 alpha=90.00 beta=90.00 gamma=90.00
Sites, in units of the cell vectors:
Sr 0.212 0.250 0.162
Sr 0.288 0.750 0.662
Sr 0.712 0.250 0.338
Sr 0.788 0.750 0.838
Pd 0.056 0.250 0.883
Pd 0.247 0.250 0.456
Pd 0.253 0.750 0.956
Pd 0.444 0.750 0.383
Pd 0.556 0.250 0.617
Pd 0.747 0.250 0.044
Pd 0.753 0.750 0.544
Pd 0.944 0.750 0.117
Pb 0.058 0.750 0.375
Pb 0.442 0.250 0.875
Pb 0.558 0.750 0.125
Pb 0.942 0.250 0.625

Energy of formation from the pure elements   -2.1 eV per formula unit
D(E_F)   0.477 states/eV per atom
Magnetization   0.0 μB per cell

Record 7
The following is a PBE-GGA calculation of AlBi2Pd8 after structural relaxation, from Alexandria.

Unit cell a=4.859 b=5.473 c=7.443 alpha=101.47 beta=93.68 gamma=97.63
Sites, in units of the cell vectors:
Al 0.000 0.000 0.000
Bi 0.321 0.276 0.680
Bi 0.679 0.724 0.320
Pd 0.116 0.473 0.176
Pd 0.210 0.720 0.571
Pd 0.244 0.027 0.301
Pd 0.436 0.748 0.960
Pd 0.564 0.252 0.040
Pd 0.756 0.973 0.699
Pd 0.790 0.280 0.429
Pd 0.884 0.527 0.824

Energy of formation from the pure elements   -3.6 eV per formula unit
D(E_F)   0.473 states/eV per atom
Magnetization   0.0 μB per cell

Record 8
The following is a PBE-GGA calculation of Mn2RhW after structural relaxation, from Alexandria.

Unit cell a=4.513 b=4.513 c=2.741 alpha=90.00 beta=90.00 gamma=106.37
Sites, in units of the cell vectors:
Mn 0.000 0.500 0.000
Mn 0.500 0.000 0.000
Rh 0.000 0.000 0.500
W 0.500 0.500 0.500

Energy of formation from the pure elements   0.4 eV per formula unit
D(E_F)   1.231 states/eV per atom
Magnetization   2.8 μB per cell

Record 9
The following is a PBE-GGA calculation of ScN2Cl3 after structural relaxation, from Alexandria.

Unit cell a=6.210 b=7.489 c=7.629 alpha=90.00 beta=108.70 gamma=90.00
Sites, in units of the cell vectors:
Sc 0.017 0.250 0.013
Sc 0.983 0.750 0.987
N 0.336 0.750 0.994
N 0.384 0.250 0.149
N 0.616 0.750 0.851
N 0.664 0.250 0.006
Cl 0.022 0.516 0.228
Cl 0.022 0.984 0.228
Cl 0.450 0.750 0.641
Cl 0.550 0.250 0.359
Cl 0.978 0.016 0.772
Cl 0.978 0.484 0.772

D(E_F)   0.016 states/eV per atom
E_form (uncorrected)   0.0374 eV per atom
Magnetization   8.0 μB per cell

Record 10
The following is a PBE-GGA calculation of ZnCrCdCl2 after structural relaxation, from Alexandria.

Unit cell a=4.488 b=4.488 c=5.470 alpha=90.00 beta=90.00 gamma=90.00
Sites, in units of the cell vectors:
Zn 0.000 0.000 0.000
Cr 0.000 0.000 0.500
Cd 0.500 0.500 0.000
Cl 0.000 0.500 0.500
Cl 0.500 0.000 0.500

D(E_F)   0.950 states/eV per atom
E_form (uncorrected)   0.0326 eV per atom
Magnetization   0.0 μB per cell

Record 11
The following is a PBE-GGA calculation of BaNaGaF6 after structural relaxation, from Alexandria.

Unit cell a=19.207 b=5.609 c=10.125 alpha=90.00 beta=90.00 gamma=90.00
Sites, in units of the cell vectors:
Ba 0.111 0.240 0.000
Ba 0.138 0.736 0.632
Ba 0.362 0.236 0.132
Ba 0.389 0.740 0.500
Ba 0.611 0.260 0.000
Ba 0.638 0.764 0.632
Ba 0.862 0.264 0.132
Ba 0.889 0.760 0.500
Na 0.066 0.732 0.268
Na 0.186 0.242 0.364
Na 0.314 0.742 0.864
Na 0.434 0.232 0.768
Na 0.566 0.768 0.268
Na 0.686 0.258 0.364
Na 0.814 0.758 0.864
Na 0.934 0.268 0.768
Ga 0.008 0.229 0.392
Ga 0.243 0.752 0.238
Ga 0.257 0.252 0.738
Ga 0.492 0.729 0.892
Ga 0.508 0.271 0.392
Ga 0.743 0.748 0.238
Ga 0.757 0.248 0.738
Ga 0.992 0.771 0.892
F 0.031 0.508 0.795
F 0.034 0.939 0.482
F 0.054 0.700 0.035
F 0.062 0.970 0.806
F 0.071 0.146 0.249
F 0.082 0.429 0.454
F 0.172 0.546 0.174
F 0.180 0.825 0.381
F 0.189 0.459 0.825
F 0.194 0.190 0.596
F 0.214 0.039 0.148
F 0.216 0.990 0.834
F 0.284 0.490 0.334
F 0.286 0.539 0.648
F 0.306 0.690 0.096
F 0.311 0.959 0.325
F 0.320 0.325 0.881
F 0.328 0.046 0.674
F 0.418 0.929 0.954
F 0.429 0.646 0.749
F 0.438 0.470 0.306
F 0.446 0.200 0.535
F 0.466 0.439 0.982
F 0.469 0.008 0.295
F 0.531 0.992 0.795
F 0.534 0.561 0.482
F 0.554 0.800 0.035
F 0.562 0.530 0.806
F 0.571 0.354 0.249
F 0.582 0.071 0.454
F 0.672 0.954 0.174
F 0.680 0.675 0.381
F 0.689 0.041 0.825
F 0.694 0.310 0.596
F 0.714 0.461 0.148
F 0.716 0.510 0.834
F 0.784 0.010 0.334
F 0.786 0.961 0.648
F 0.806 0.810 0.096
F 0.811 0.541 0.325
F 0.820 0.175 0.881
F 0.828 0.454 0.674
F 0.918 0.571 0.954
F 0.929 0.854 0.749
F 0.938 0.030 0.306
F 0.946 0.300 0.535
F 0.966 0.061 0.982
F 0.969 0.492 0.295

D(E_F)   0.000 states/eV per atom
E_form (uncorrected)   -3.1443 eV per atom
Magnetization   0.0 μB per cell

Record 12
The following is a PBE-GGA calculation of Re2IBr after structural relaxation, from Alexandria.

Unit cell a=4.641 b=4.641 c=4.641 alpha=60.00 beta=60.00 gamma=60.00
Sites, in units of the cell vectors:
Re 0.250 0.250 0.250
Re 0.750 0.750 0.750
I 0.000 0.000 0.000
Br 0.500 0.500 0.500

D(E_F)   0.681 states/eV per atom
E_form (uncorrected)   1.7433 eV per atom
Magnetization   0.0 μB per cell